Entry from Alexandria: crystalline TePCl2 at its relaxed geometry (GGA-PBE).

```
data_TePCl2
_cell_length_a 3.2534
_cell_length_b 3.2534
_cell_length_c 31.2650
_cell_angle_alpha 90.00
_cell_angle_beta 90.00
_cell_angle_gamma 120.00
_symmetry_space_group_name_H-M 'R -3 m'
_symmetry_Int_Tables_number 166
_symmetry_space_group_name_Hall '-R 3 2"'
loop_
_atom_site_label
_atom_site_fract_x
_atom_site_fract_y
_atom_site_fract_z
_atom_site_occupancy
Te1 0.0000 0.0000 0.0000 1
P1 0.0000 0.0000 0.5000 1
Cl1 0.0000 0.0000 0.4310 1
```

The relative energy among the computed polymorphs comes out at 387 meV/atom. The value obtained for the energy is -2.873 eV per atom. The calculation puts the formation energy (no corrections) at 0.19 eV/atom. As for the mass density: 3.989 g cm⁻³. For the density of states at the Fermi level, the calculation gives 7.2 states/eV/cell.

***

Entry from Alexandria: crystalline TePCl2 at its relaxed geometry (GGA-PBE).

```
data_TePCl2
_cell_length_a 6.0755
_cell_length_b 8.9913
_cell_length_c 3.1037
_cell_angle_alpha 90.00
_cell_angle_beta 90.00
_cell_angle_gamma 90.00
_symmetry_space_group_name_H-M 'C m m m'
_symmetry_Int_Tables_number 65
_symmetry_space_group_name_Hall '-C 2 2'
loop_
_atom_site_label
_atom_site_fract_x
_atom_site_fract_y
_atom_site_fract_z
_atom_site_occupancy
Te1 0.0000 0.0000 0.0000 1
P1 0.0000 0.5000 0.0000 1
Cl1 0.2500 0.2500 0.5000 1
```

The relative energy among the computed polymorphs comes out at 797 meV/atom. The value obtained for the energy is -2.464 eV per atom. The calculation puts the formation energy (no corrections) at 0.60 eV/atom. As for the mass density: 4.495 g cm⁻³. For the density of states at the Fermi level, the calculation gives 4.7 states/eV/cell.

***

Entry from Alexandria: crystalline TePCl2 at its relaxed geometry (GGA-PBE).

```
data_TePCl2
_cell_length_a 3.2491
_cell_length_b 4.6233
_cell_length_c 5.7389
_cell_angle_alpha 90.00
_cell_angle_beta 90.00
_cell_angle_gamma 90.00
_symmetry_space_group_name_H-M 'P m m m'
_symmetry_Int_Tables_number 47
loop_
_symmetry_equiv_pos_as_xyz
'x,y,z'
'-x,-y,-z'
'-x,-y,z'
'x,y,-z'
'x,-y,-z'
'-x,y,z'
'-x,y,-z'
'x,-y,z'
loop_
_atom_site_label
_atom_site_fract_x
_atom_site_fract_y
_atom_site_fract_z
_atom_site_occupancy
Te1 0.0000 0.0000 0.0000 1
P1 0.5000 0.0000 0.5000 1
Cl1 0.0000 0.5000 0.5000 1
Cl2 0.5000 0.5000 0.0000 1
```

The relative energy among the computed polymorphs comes out at 634 meV/atom. The value obtained for the energy is -2.626 eV per atom. The calculation puts the formation energy (no corrections) at 0.43 eV/atom. As for the mass density: 4.420 g cm⁻³. For the density of states at the Fermi level, the calculation gives 2.1 states/eV/cell.

***

Entry from Alexandria: crystalline TePCl2 at its relaxed geometry (GGA-PBE).

```
data_TePCl2
_cell_length_a 4.3006
_cell_length_b 4.3006
_cell_length_c 9.0597
_cell_angle_alpha 90.00
_cell_angle_beta 90.00
_cell_angle_gamma 90.00
_symmetry_space_group_name_H-M 'I 4/m m m'
_symmetry_Int_Tables_number 139
_symmetry_space_group_name_Hall '-I 4 2'
loop_
_atom_site_label
_atom_site_fract_x
_atom_site_fract_y
_atom_site_fract_z
_atom_site_occupancy
Te1 0.0000 0.0000 0.0000 1
P1 0.0000 0.0000 0.5000 1
Cl1 0.0000 0.5000 0.2500 1
```

The relative energy among the computed polymorphs comes out at 765 meV/atom. The value obtained for the energy is -2.496 eV per atom. The calculation puts the formation energy (no corrections) at 0.57 eV/atom. As for the mass density: 4.548 g cm⁻³. For the density of states at the Fermi level, the calculation gives 4.7 states/eV/cell.